Entry 1:
This record from Alexandria describes a relaxed structure of CaCoP. The functional is PBE.

Cell: 6.1520 6.1520 6.1520 Å, 90.00 90.00 90.00°
Space group F-43m (No. 216)
Asymmetric unit:
Ca: 0.0000 0.0000 0.0000 [4 per cell]
Co: 0.0000 0.0000 0.5000 [4 per cell]
P: 0.2500 0.2500 0.7500 [4 per cell]

Properties
Energy of formation, eV/f.u.: -0.79

Entry 2:
This record from Alexandria describes a relaxed structure of Pm2PrCd2Hg2. The functional is PBE.

Cell: 5.0070 5.0070 27.1849 Å, 90.00 90.00 120.00°
Space group R-3m (No. 166, hexagonal axes)
Asymmetric unit:
Pm: 0.0000 0.0000 0.1255 [6 per cell]
Pr: 0.0000 0.0000 0.0000 [3 per cell]
Cd: 0.0000 0.0000 0.2587 [6 per cell]
Hg: 0.0000 0.0000 0.3995 [6 per cell]

Properties
Energy of formation, eV/f.u.: -1.97